No. 1
LiAc2Pb2: optimized geometry, PBE.

Summary:
N(E_F) = 6.91 states/eV per cell
Energy above the lowest structure with this stoichiometry = 0 meV per atom
Size of the total moment = 0.000 μB/f.u.
VASP energy = -3.973 eV per atom

Unit cell a=6.904 b=7.117 c=8.581 alpha=114.50 beta=113.72 gamma=90.00
Element x y z (fractional)
1 Li 0.750 0.500 0.000
2 Li 0.250 0.500 0.000
3 Ac 0.862 0.654 0.725
4 Ac 0.138 0.346 0.275
5 Ac 0.638 0.929 0.275
6 Ac 0.362 0.071 0.725
7 Pb 0.385 0.608 0.770
8 Pb 0.615 0.392 0.230
9 Pb 0.115 0.838 0.230
10 Pb 0.885 0.162 0.770



No. 2
Li5AcPb7: optimized geometry, PBE.

Summary:
N(E_F) = 4.09 states/eV per cell
Size of the total moment = 0.000 μB/f.u.
VASP energy = -3.315 eV per atom

Unit cell a=6.193 b=7.959 c=7.959 alpha=82.73 beta=67.10 gamma=67.10
Element x y z (fractional)
1 Li 0.491 0.000 0.497
2 Li 0.012 0.000 0.497
3 Li 0.491 0.497 0.000
4 Li 0.012 0.497 0.000
5 Li 0.744 0.756 0.756
6 Ac 0.995 0.005 0.005
7 Pb 0.644 0.356 0.356
8 Pb 0.334 0.666 0.666
9 Pb 0.989 0.349 0.672
10 Pb 0.989 0.672 0.349
11 Pb 0.268 0.232 0.232
12 Pb 0.515 0.795 0.175
13 Pb 0.515 0.175 0.795